(1)
A relaxed structure of CdIn2S5, computed with PBE-GGA.

```
data_CdIn2S5
_chemical_formula_sum 'Cd4 In8 S20'
_cell_length_a 5.579
_cell_length_b 13.264
_cell_length_c 11.956
_cell_angle_alpha 90.00
_cell_angle_beta 90.00
_cell_angle_gamma 90.00
_space_group_name_H-M_alt 'C m c m'
_space_group_IT_number 63
_space_group_name_Hall '-C 2c 2'
loop_
_atom_site_label
_atom_site_type_symbol
_atom_site_fract_x
_atom_site_fract_y
_atom_site_fract_z
Cd1 Cd 0.000 0.154 0.250
In1 In 0.000 0.199 0.589
S1 S 0.000 0.011 0.587
S2 S 0.000 0.289 0.091
S3 S 0.000 0.319 0.750
```

Raw formation energy in eV/atom: -0.359
Crystal system: orthorhombic
ρ in g/cm3: 3.772

(2)
A relaxed structure of CdIn5S8, computed with PBE-GGA.

```
data_CdIn5S8
_chemical_formula_sum 'Cd4 In20 S32'
_cell_length_a 11.095
_cell_length_b 11.095
_cell_length_c 11.095
_cell_angle_alpha 90.00
_cell_angle_beta 90.00
_cell_angle_gamma 90.00
_space_group_name_H-M_alt 'F -4 3 m'
_space_group_IT_number 216
_space_group_name_Hall 'F -4 2 3'
loop_
_atom_site_label
_atom_site_type_symbol
_atom_site_fract_x
_atom_site_fract_y
_atom_site_fract_z
Cd1 Cd 0.000 0.000 0.000
In1 In 0.126 0.126 0.626
In2 In 0.250 0.250 0.250
S1 S 0.115 0.115 0.385
S2 S 0.134 0.134 0.866
```

Raw formation energy in eV/atom: -0.544
Crystal system: cubic
ρ in g/cm3: 4.586

(3)
A relaxed structure of CdInS3, computed with PBE-GGA.

```
data_CdInS3
_chemical_formula_sum 'Cd1 In1 S3'
_cell_length_a 5.011
_cell_length_b 5.011
_cell_length_c 5.011
_cell_angle_alpha 90.00
_cell_angle_beta 90.00
_cell_angle_gamma 90.00
_space_group_name_H-M_alt 'P m -3 m'
_space_group_IT_number 221
_space_group_name_Hall '-P 4 2 3'
loop_
_atom_site_label
_atom_site_type_symbol
_atom_site_fract_x
_atom_site_fract_y
_atom_site_fract_z
Cd1 Cd 0.000 0.000 0.000
In1 In 0.500 0.500 0.500
S1 S 0.000 0.500 0.500
```

Raw formation energy in eV/atom: 0.355
ΔE to the lowest computed polymorph in meV/atom: 570.6
Crystal system: cubic
ρ in g/cm3: 4.269

(4)
A relaxed structure of Cd2In2S, computed with PBE-GGA.

```
data_Cd2In2S
_chemical_formula_sum 'Cd4 In4 S2'
_cell_length_a 7.464
_cell_length_b 7.464
_cell_length_c 4.657
_cell_angle_alpha 90.00
_cell_angle_beta 90.00
_cell_angle_gamma 90.00
_space_group_name_H-M_alt 'P 4/m b m'
_space_group_IT_number 127
_space_group_name_Hall '-P 4 2ab'
loop_
_atom_site_label
_atom_site_type_symbol
_atom_site_fract_x
_atom_site_fract_y
_atom_site_fract_z
Cd1 Cd 0.154 0.346 0.000
In1 In 0.157 0.657 0.500
S1 S 0.000 0.000 0.500
```

Raw formation energy in eV/atom: 0.041
ΔE to the lowest computed polymorph in meV/atom: 18.8
Crystal system: tetragonal
ρ in g/cm3: 6.228

(5)
A relaxed structure of CdIn4S7, computed with PBE-GGA.

```
data_CdIn4S7
_chemical_formula_sum 'Cd2 In8 S14'
_cell_length_a 16.196
_cell_length_b 6.939
_cell_length_c 6.629
_cell_angle_alpha 90.00
_cell_angle_beta 90.00
_cell_angle_gamma 90.00
_space_group_name_H-M_alt 'P m n 21'
_space_group_IT_number 31
loop_
_space_group_symop_operation_xyz
'x,y,z'
'-x+1/2,-y,z+1/2'
'-x,y,z'
'x+1/2,-y,z+1/2'
loop_
_atom_site_label
_atom_site_type_symbol
_atom_site_fract_x
_atom_site_fract_y
_atom_site_fract_z
Cd1 Cd 0.000 0.162 0.000
In1 In 0.124 0.673 0.113
In2 In 0.243 0.825 0.585
S1 S 0.000 0.809 0.934
S2 S 0.113 0.685 0.477
S3 S 0.131 0.343 0.952
S4 S 0.247 0.173 0.468
```

Raw formation energy in eV/atom: -0.509
Crystal system: orthorhombic
ρ in g/cm3: 3.549

(6)
A relaxed structure of CdInS3, computed with PBE-GGA.

```
data_CdInS3
_chemical_formula_sum 'Cd2 In2 S6'
_cell_length_a 6.4854
_cell_length_b 6.4854
_cell_length_c 7.5667
_cell_angle_alpha 90.00
_cell_angle_beta 90.00
_cell_angle_gamma 120.00
_space_group_name_H-M_alt 'P -3 1 m'
_space_group_IT_number 162
_space_group_name_Hall '-P 3 2'
loop_
_atom_site_label
_atom_site_type_symbol
_atom_site_fract_x
_atom_site_fract_y
_atom_site_fract_z
Cd1 Cd 0.0000 0.0000 0.2207
In1 In 0.3333 0.6667 0.0000
S1 S 0.0000 0.3802 0.7783
```

Raw formation energy in eV/atom: -0.216
ΔE to the lowest computed polymorph in meV/atom: 0.0
Crystal system: trigonal
ρ in g/cm3: 3.897

(7)
A relaxed structure of Cd3InS, computed with PBE-GGA.

```
data_Cd3InS
_chemical_formula_sum 'Cd3 In1 S1'
_cell_length_a 5.232
_cell_length_b 5.232
_cell_length_c 5.232
_cell_angle_alpha 90.00
_cell_angle_beta 90.00
_cell_angle_gamma 90.00
_space_group_name_H-M_alt 'P m -3 m'
_space_group_IT_number 221
_space_group_name_Hall '-P 4 2 3'
loop_
_atom_site_label
_atom_site_type_symbol
_atom_site_fract_x
_atom_site_fract_y
_atom_site_fract_z
Cd1 Cd 0.000 0.000 0.500
In1 In 0.500 0.500 0.500
S1 S 0.000 0.000 0.000
```

Raw formation energy in eV/atom: 0.264
ΔE to the lowest computed polymorph in meV/atom: 0.0
Crystal system: cubic
ρ in g/cm3: 5.614

(8)
A relaxed structure of CdIn3S6, computed with PBE-GGA.

```
data_CdIn3S6
_chemical_formula_sum 'Cd6 In18 S36'
_cell_length_a 11.0556
_cell_length_b 11.0556
_cell_length_c 13.4941
_cell_angle_alpha 90.00
_cell_angle_beta 90.00
_cell_angle_gamma 120.00
_space_group_name_H-M_alt 'R -3'
_space_group_IT_number 148
_space_group_name_Hall '-R 3'
loop_
_atom_site_label
_atom_site_type_symbol
_atom_site_fract_x
_atom_site_fract_y
_atom_site_fract_z
Cd1 Cd 0.0000 0.0000 0.0000
Cd2 Cd 0.0000 0.0000 0.5000
In1 In 0.0509 0.7796 0.2093
S1 S 0.0183 0.8054 0.3973
S2 S 0.0222 0.8316 0.8710
```

Raw formation energy in eV/atom: -0.339
Crystal system: trigonal
ρ in g/cm3: 4.529